# 1
The following is a DFT calculation (GGA-PBE) of crystalline TmZnCd2 at its relaxed geometry.

Lattice parameters (Å, degrees): 4.937 4.937 4.937 60.00 60.00 60.00
Sites, in units of the cell vectors:
Tm1 0.000 0.000 0.000
Zn1 0.500 0.500 0.500
Cd1 0.250 0.250 0.250
Cd2 0.750 0.750 0.750

Computed properties:
- Formation energy from the elements: -0.158 eV/atom
- E_tot: -2.052 eV/atom

---

# 2
The following is a DFT calculation (GGA-PBE) of crystalline Tm6Zn2Cd at its relaxed geometry.

Lattice parameters (Å, degrees): 8.464 8.464 8.464 111.29 109.59 107.56
Sites, in units of the cell vectors:
Tm1 0.034 0.819 0.216
Tm2 0.243 0.538 0.295
Tm3 0.243 0.948 0.705
Tm4 0.273 0.317 0.590
Tm5 0.273 0.683 0.956
Tm6 0.397 0.181 0.216
Tm7 0.603 0.819 0.784
Tm8 0.727 0.317 0.044
Tm9 0.727 0.683 0.410
Tm10 0.757 0.052 0.295
Tm11 0.757 0.462 0.705
Tm12 0.966 0.181 0.784
Zn1 0.000 0.137 0.137
Zn2 0.000 0.863 0.863
Zn3 0.374 0.374 0.000
Zn4 0.626 0.626 0.000
Cd1 0.000 0.500 0.500
Cd2 0.500 0.000 0.500

Computed properties:
- Formation energy from the elements: -0.202 eV/atom
- E_tot: -3.568 eV/atom

---

# 3
The following is a DFT calculation (GGA-PBE) of crystalline Tm6ZnCd3 at its relaxed geometry.

Lattice parameters (Å, degrees): 9.054 5.203 11.419 90.00 108.40 90.00
Sites, in units of the cell vectors:
Tm1 0.033 0.250 0.412
Tm2 0.169 0.750 0.173
Tm3 0.266 0.250 0.007
Tm4 0.350 0.750 0.820
Tm5 0.369 0.250 0.338
Tm6 0.396 0.250 0.632
Tm7 0.604 0.750 0.368
Tm8 0.631 0.750 0.662
Tm9 0.650 0.250 0.180
Tm10 0.734 0.750 0.993
Tm11 0.831 0.250 0.827
Tm12 0.967 0.750 0.588
Zn1 0.457 0.750 0.101
Zn2 0.543 0.250 0.899
Cd1 0.026 0.750 0.877
Cd2 0.110 0.250 0.722
Cd3 0.273 0.750 0.474
Cd4 0.727 0.250 0.526
Cd5 0.890 0.750 0.278
Cd6 0.974 0.250 0.123

Computed properties:
- Formation energy from the elements: -0.214 eV/atom
- E_tot: -3.299 eV/atom

---

# 4
The following is a DFT calculation (GGA-PBE) of crystalline Tm2ZnCd at its relaxed geometry.

Lattice parameters (Å, degrees): 5.113 5.113 5.113 60.00 60.00 60.00
Sites, in units of the cell vectors:
Tm1 0.250 0.250 0.250
Tm2 0.750 0.750 0.750
Zn1 0.000 0.000 0.000
Cd1 0.500 0.500 0.500

Computed properties:
- Formation energy from the elements: -0.315 eV/atom
- E_tot: -3.098 eV/atom
- E above lowest polymorph: 17 meV/atom

---

# 5
The following is a DFT calculation (GGA-PBE) of crystalline Tm3Zn2Cd2 at its relaxed geometry.

Lattice parameters (Å, degrees): 10.817 10.817 3.502 90.00 90.00 156.98
Sites, in units of the cell vectors:
Tm1 0.000 0.000 0.000
Tm2 0.165 0.835 0.000
Tm3 0.835 0.165 0.000
Zn1 0.281 0.719 0.500
Zn2 0.719 0.281 0.500
Cd1 0.419 0.581 0.500
Cd2 0.581 0.419 0.500

Computed properties:
- Formation energy from the elements: -0.311 eV/atom
- E_tot: -2.853 eV/atom

---

# 6
The following is a DFT calculation (GGA-PBE) of crystalline Tm5Zn2Cd2 at its relaxed geometry.

Lattice parameters (Å, degrees): 9.377 9.377 7.245 90.00 90.00 45.41
Sites, in units of the cell vectors:
Tm1 0.000 0.000 0.000
Tm2 0.054 0.687 0.679
Tm3 0.187 0.554 0.179
Tm4 0.313 0.946 0.679
Tm5 0.446 0.813 0.179
Tm6 0.500 0.500 0.500
Tm7 0.554 0.187 0.821
Tm8 0.687 0.054 0.321
Tm9 0.813 0.446 0.821
Tm10 0.946 0.313 0.321
Zn1 0.121 0.879 0.378
Zn2 0.379 0.621 0.878
Zn3 0.621 0.379 0.122
Zn4 0.879 0.121 0.622
Cd1 0.227 0.227 0.000
Cd2 0.273 0.273 0.500
Cd3 0.727 0.727 0.500
Cd4 0.773 0.773 0.000

Computed properties:
- Formation energy from the elements: -0.225 eV/atom
- E_tot: -3.195 eV/atom

---

# 7
The following is a DFT calculation (GGA-PBE) of crystalline Tm3Zn4Cd4 at its relaxed geometry.

Lattice parameters (Å, degrees): 14.752 14.752 4.678 98.97 98.97 13.42
Sites, in units of the cell vectors:
Tm1 0.000 0.000 0.000
Tm2 0.140 0.140 0.639
Tm3 0.860 0.860 0.361
Zn1 0.317 0.317 0.817
Zn2 0.456 0.456 0.456
Zn3 0.544 0.544 0.544
Zn4 0.683 0.683 0.183
Cd1 0.265 0.265 0.265
Cd2 0.409 0.409 0.909
Cd3 0.591 0.591 0.091
Cd4 0.735 0.735 0.735

Computed properties:
- Formation energy from the elements: -0.263 eV/atom
- E_tot: -2.279 eV/atom

---

# 8
The following is a DFT calculation (GGA-PBE) of crystalline TmZnCd2 at its relaxed geometry.

Lattice parameters (Å, degrees): 4.321 4.321 4.728 90.00 90.00 90.00
Sites, in units of the cell vectors:
Tm1 0.000 0.000 0.000
Zn1 0.500 0.500 0.000
Cd1 0.000 0.500 0.500
Cd2 0.500 0.000 0.500

Computed properties:
- Formation energy from the elements: -0.204 eV/atom
- E_tot: -2.098 eV/atom

---

# 9
The following is a DFT calculation (GGA-PBE) of crystalline Tm5ZnCd4 at its relaxed geometry.

Lattice parameters (Å, degrees): 3.644 3.644 18.475 90.00 90.00 90.00
Sites, in units of the cell vectors:
Tm1 0.000 0.000 0.000
Tm2 0.000 0.000 0.204
Tm3 0.000 0.000 0.409
Tm4 0.000 0.000 0.591
Tm5 0.000 0.000 0.796
Zn1 0.500 0.500 0.500
Cd1 0.500 0.500 0.102
Cd2 0.500 0.500 0.306
Cd3 0.500 0.500 0.694
Cd4 0.500 0.500 0.898

Computed properties:
- Formation energy from the elements: -0.316 eV/atom
- E_tot: -3.045 eV/atom

---

# 10
The following is a DFT calculation (GGA-PBE) of crystalline Tm4Zn2Cd5 at its relaxed geometry.

Lattice parameters (Å, degrees): 7.587 3.578 9.591 90.00 93.58 90.00
Sites, in units of the cell vectors:
Tm1 0.171 0.000 0.367
Tm2 0.251 0.000 0.938
Tm3 0.749 0.000 0.062
Tm4 0.829 0.000 0.633
Zn1 0.061 0.500 0.130
Zn2 0.939 0.500 0.870
Cd1 0.180 0.500 0.654
Cd2 0.441 0.500 0.188
Cd3 0.500 0.500 0.500
Cd4 0.559 0.500 0.812
Cd5 0.820 0.500 0.346

Computed properties:
- Formation energy from the elements: -0.266 eV/atom
- E_tot: -2.540 eV/atom

---

# 11
The following is a DFT calculation (GGA-PBE) of crystalline Tm2ZnCd at its relaxed geometry.

Lattice parameters (Å, degrees): 3.545 3.545 7.471 90.00 90.00 90.00
Sites, in units of the cell vectors:
Tm1 0.000 0.000 0.231
Tm2 0.000 0.000 0.769
Zn1 0.500 0.500 0.000
Cd1 0.500 0.500 0.500

Computed properties:
- Formation energy from the elements: -0.331 eV/atom
- E_tot: -3.114 eV/atom
- E above lowest polymorph: 0 meV/atom

---

# 12
The following is a DFT calculation (GGA-PBE) of crystalline Tm4Zn2Cd at its relaxed geometry.

Lattice parameters (Å, degrees): 9.406 9.406 9.406 30.20 30.20 30.20
Sites, in units of the cell vectors:
Tm1 0.117 0.117 0.117
Tm2 0.296 0.296 0.296
Tm3 0.704 0.704 0.704
Tm4 0.883 0.883 0.883
Zn1 0.402 0.402 0.402
Zn2 0.598 0.598 0.598
Cd1 0.500 0.500 0.500

Computed properties:
- Formation energy from the elements: -0.026 eV/atom
- E_tot: -3.076 eV/atom
- E above lowest polymorph: 145 meV/atom